The following is a PBE calculation of a relaxed NaCd5Pd4 crystal, from the Alexandria database.

```
data_NaCd5Pd4
_cell_length_a 3.086
_cell_length_b 3.086
_cell_length_c 19.783
_cell_angle_alpha 90.00
_cell_angle_beta 90.00
_cell_angle_gamma 90.00
_space_group_name_H-M_alt 'P 4/m m m'
_space_group_IT_number 123
_space_group_name_Hall '-P 4 2'
loop_
_atom_site_label
_atom_site_type_symbol
_atom_site_fract_x
_atom_site_fract_y
_atom_site_fract_z
Na1 Na 0.000 0.000 0.000
Cd1 Cd 0.500 0.500 0.126
Cd2 Cd 0.500 0.500 0.314
Cd3 Cd 0.500 0.500 0.500
Pd1 Pd 0.000 0.000 0.220
Pd2 Pd 0.000 0.000 0.407
```

## Properties
E_form = -0.3253 eV/atom
DOS at the Fermi energy = 3.41 states/eV per cell

---

The following is a PBE calculation of a relaxed Cs2LaInBr6 crystal, from the Alexandria database.

```
data_Cs2LaInBr6
_cell_length_a 12.234
_cell_length_b 12.234
_cell_length_c 12.234
_cell_angle_alpha 90.00
_cell_angle_beta 90.00
_cell_angle_gamma 90.00
_space_group_name_H-M_alt 'F m -3 m'
_space_group_IT_number 225
_space_group_name_Hall '-F 4 2 3'
loop_
_atom_site_label
_atom_site_type_symbol
_atom_site_fract_x
_atom_site_fract_y
_atom_site_fract_z
Cs1 Cs 0.250 0.250 0.250
La1 La 0.000 0.000 0.000
In1 In 0.000 0.000 0.500
Br1 Br 0.000 0.000 0.240
```

## Properties
energy relative to the lowest polymorph listed for this composition = 0.288 eV/f.u.
formation energy from raw total energies = -1.658 eV/atom
DOS at the Fermi energy = 0.00 states/eV per cell

---

The following is a PBE calculation of a relaxed NdHo2Cl crystal, from the Alexandria database.

```
data_NdHo2Cl
_cell_length_a 3.4407
_cell_length_b 3.4407
_cell_length_c 33.5440
_cell_angle_alpha 90.00
_cell_angle_beta 90.00
_cell_angle_gamma 120.00
_space_group_name_H-M_alt 'R -3 m'
_space_group_IT_number 166
_space_group_name_Hall '-R 3 2"'
loop_
_atom_site_label
_atom_site_type_symbol
_atom_site_fract_x
_atom_site_fract_y
_atom_site_fract_z
Nd1 Nd 0.0000 0.0000 0.0000
Ho1 Ho 0.0000 0.0000 0.1010
Cl1 Cl 0.0000 0.0000 0.5000
```

## Properties
formation energy from raw total energies = -0.377 eV/atom
DOS at the Fermi energy = 19.42 states/eV per cell

---

The following is a PBE calculation of a relaxed LiB2C2 crystal, from the Alexandria database.

```
data_LiB2C2
_cell_length_a 4.6859
_cell_length_b 4.6859
_cell_length_c 7.3337
_cell_angle_alpha 90.00
_cell_angle_beta 90.00
_cell_angle_gamma 120.00
_space_group_name_H-M_alt 'P 3 1 2'
_space_group_IT_number 149
_space_group_name_Hall 'P 3 2'
loop_
_atom_site_label
_atom_site_type_symbol
_atom_site_fract_x
_atom_site_fract_y
_atom_site_fract_z
Li1 Li 0.0000 0.0000 0.0000
Li2 Li 0.0000 0.0000 0.5000
Li3 Li 0.6667 0.3333 0.0000
B1 B 0.0019 0.3368 0.7553
C1 C 0.3320 0.0018 0.2422
```

## Properties
energy relative to the lowest polymorph listed for this composition = 0.195 eV/f.u.
E_form = -0.0306 eV/atom
DOS at the Fermi energy = 3.33 states/eV per cell

---

The following is a PBE calculation of a relaxed Li5B8C8 crystal, from the Alexandria database.

```
data_Li5B8C8
_cell_length_a 14.555
_cell_length_b 5.448
_cell_length_c 4.699
_cell_angle_alpha 90.00
_cell_angle_beta 90.12
_cell_angle_gamma 90.00
_space_group_name_H-M_alt 'C 1 2/m 1'
_space_group_IT_number 12
_space_group_name_Hall '-C 2y'
loop_
_atom_site_label
_atom_site_type_symbol
_atom_site_fract_x
_atom_site_fract_y
_atom_site_fract_z
Li1 Li 0.000 0.000 0.000
Li2 Li 0.250 0.000 0.001
Li3 Li 0.250 0.250 0.500
B1 B 0.125 0.500 0.669
B2 B 0.127 0.000 0.667
B3 B 0.128 0.251 0.169
C1 C 0.129 0.250 0.831
C2 C 0.130 0.000 0.329
C3 C 0.132 0.500 0.332
```

## Properties
energy relative to the lowest polymorph listed for this composition = 0.429 eV/f.u.
E_form = -0.1246 eV/atom
DOS at the Fermi energy = 7.86 states/eV per cell

---

The following is a PBE calculation of a relaxed GaPd6Au12 crystal, from the Alexandria database.

```
data_GaPd6Au12
_cell_length_a 11.5632
_cell_length_b 11.5632
_cell_length_c 8.8100
_cell_angle_alpha 90.00
_cell_angle_beta 90.00
_cell_angle_gamma 120.00
_space_group_name_H-M_alt 'R -3 m'
_space_group_IT_number 166
_space_group_name_Hall '-R 3 2"'
loop_
_atom_site_label
_atom_site_type_symbol
_atom_site_fract_x
_atom_site_fract_y
_atom_site_fract_z
Ga1 Ga 0.0000 0.0000 0.0000
Pd1 Pd 0.0819 0.1637 0.7646
Au1 Au 0.0000 0.2691 0.0000
Au2 Au 0.0818 0.5409 0.1175
```

## Properties
E_form = -0.0107 eV/atom
DOS at the Fermi energy = 17.66 states/eV per cell

---

In order of appearance, electronic total energy = -2.99 -3.60 -4.32 -6.77 -6.64 -3.88 eV/atom.